[1]
Computed, not measured: TeOsPt2 after structural relaxation at the PBE level of DFT.

Results
DFT total energy	-6.10	eV per atom

CIF file:
```
data_TeOsPt2
_cell_length_a 2.989
_cell_length_b 4.709
_cell_length_c 4.860
_cell_angle_alpha 90.00
_cell_angle_beta 90.00
_cell_angle_gamma 90.00
_symmetry_space_group_name_H-M 'P m m m'
_symmetry_Int_Tables_number 47
_symmetry_space_group_name_Hall '-P 2 2'
loop_
_atom_site_label
_atom_site_fract_x
_atom_site_fract_y
_atom_site_fract_z
Te1 0.000 0.000 0.000
Os1 0.500 0.500 0.000
Pt1 0.000 0.500 0.500
Pt2 0.500 0.000 0.500
```

=====

[2]
Computed, not measured: TeOsPt2 after structural relaxation at the PBE level of DFT.

Results
DFT total energy	-6.20	eV per atom

CIF file:
```
data_TeOsPt2
_cell_length_a 2.848
_cell_length_b 3.699
_cell_length_c 6.727
_cell_angle_alpha 90.00
_cell_angle_beta 90.00
_cell_angle_gamma 90.00
_symmetry_space_group_name_H-M 'P m m m'
_symmetry_Int_Tables_number 47
_symmetry_space_group_name_Hall '-P 2 2'
loop_
_atom_site_label
_atom_site_fract_x
_atom_site_fract_y
_atom_site_fract_z
Te1 0.000 0.000 0.000
Os1 0.000 0.000 0.500
Pt1 0.500 0.500 0.284
```

=====

[3]
Computed, not measured: Te2OsPt after structural relaxation at the PBE level of DFT.

Results
DFT total energy	-5.52	eV per atom
energy relative to the lowest polymorph listed for this composition	148	meV/atom

CIF file:
```
data_Te2OsPt
_cell_length_a 3.181
_cell_length_b 3.181
_cell_length_c 8.601
_cell_angle_alpha 90.00
_cell_angle_beta 90.00
_cell_angle_gamma 90.00
_symmetry_space_group_name_H-M 'P 4 m m'
_symmetry_Int_Tables_number 99
_symmetry_space_group_name_Hall 'P 4 -2'
loop_
_atom_site_label
_atom_site_fract_x
_atom_site_fract_y
_atom_site_fract_z
Te1 0.000 0.000 0.000
Te2 0.500 0.500 0.403
Os1 0.000 0.000 0.578
Pt1 0.500 0.500 0.795
```

=====

[4]
Computed, not measured: Te2OsPt after structural relaxation at the PBE level of DFT.

Results
DFT total energy	-4.89	eV per atom
energy relative to the lowest polymorph listed for this composition	782	meV/atom

CIF file:
```
data_Te2OsPt
_cell_length_a 6.829
_cell_length_b 6.829
_cell_length_c 6.829
_cell_angle_alpha 90.00
_cell_angle_beta 90.00
_cell_angle_gamma 90.00
_symmetry_space_group_name_H-M 'F -4 3 m'
_symmetry_Int_Tables_number 216
_symmetry_space_group_name_Hall 'F -4 2 3'
loop_
_atom_site_label
_atom_site_fract_x
_atom_site_fract_y
_atom_site_fract_z
Te1 0.000 0.000 0.000
Te2 0.250 0.250 0.250
Os1 0.000 0.000 0.500
Pt1 0.250 0.250 0.750
```

=====

[5]
Computed, not measured: Te2OsPt after structural relaxation at the PBE level of DFT.

Results
DFT total energy	-5.14	eV per atom
energy relative to the lowest polymorph listed for this composition	529	meV/atom

CIF file:
```
data_Te2OsPt
_cell_length_a 4.062
_cell_length_b 4.062
_cell_length_c 9.444
_cell_angle_alpha 90.00
_cell_angle_beta 90.00
_cell_angle_gamma 90.00
_symmetry_space_group_name_H-M 'I -4 m 2'
_symmetry_Int_Tables_number 119
_symmetry_space_group_name_Hall 'I -4 -2'
loop_
_atom_site_label
_atom_site_fract_x
_atom_site_fract_y
_atom_site_fract_z
Te1 0.000 0.000 0.000
Te2 0.000 0.500 0.250
Os1 0.000 0.500 0.750
Pt1 0.000 0.000 0.500
```

=====

[6]
Computed, not measured: Te2OsPt after structural relaxation at the PBE level of DFT.

Results
DFT total energy	-5.62	eV per atom
energy relative to the lowest polymorph listed for this composition	54	meV/atom

CIF file:
```
data_Te2OsPt
_cell_length_a 3.405
_cell_length_b 3.808
_cell_length_c 7.057
_cell_angle_alpha 90.00
_cell_angle_beta 90.00
_cell_angle_gamma 90.00
_symmetry_space_group_name_H-M 'P m m 2'
_symmetry_Int_Tables_number 25
_symmetry_space_group_name_Hall 'P 2 -2'
loop_
_atom_site_label
_atom_site_fract_x
_atom_site_fract_y
_atom_site_fract_z
Te1 0.000 0.000 0.000
Te2 0.500 0.500 0.474
Os1 0.000 0.000 0.628
Pt1 0.500 0.500 0.854
```

=====

[7]
Computed, not measured: TeOsPt2 after structural relaxation at the PBE level of DFT.

Results
DFT total energy	-6.12	eV per atom

CIF file:
```
data_TeOsPt2
_cell_length_a 3.0383
_cell_length_b 3.0383
_cell_length_c 25.9861
_cell_angle_alpha 90.00
_cell_angle_beta 90.00
_cell_angle_gamma 120.00
_symmetry_space_group_name_H-M 'R 3 m'
_symmetry_Int_Tables_number 160
_symmetry_space_group_name_Hall 'R 3 -2"'
loop_
_atom_site_label
_atom_site_fract_x
_atom_site_fract_y
_atom_site_fract_z
Te1 0.0000 0.0000 0.0000
Os1 0.0000 0.0000 0.2544
Pt1 0.0000 0.0000 0.5061
Pt2 0.0000 0.0000 0.7538
```

=====

[8]
Computed, not measured: Te2OsPt after structural relaxation at the PBE level of DFT.

Results
DFT total energy	-5.11	eV per atom
energy relative to the lowest polymorph listed for this composition	563	meV/atom

CIF file:
```
data_Te2OsPt
_cell_length_a 3.141
_cell_length_b 5.321
_cell_length_c 9.500
_cell_angle_alpha 90.00
_cell_angle_beta 90.00
_cell_angle_gamma 90.00
_symmetry_space_group_name_H-M 'C m m m'
_symmetry_Int_Tables_number 65
_symmetry_space_group_name_Hall '-C 2 2'
loop_
_atom_site_label
_atom_site_fract_x
_atom_site_fract_y
_atom_site_fract_z
Te1 0.000 0.000 0.239
Os1 0.000 0.500 0.000
Pt1 0.000 0.500 0.500
```

=====

[9]
Computed, not measured: Te2OsPt after structural relaxation at the PBE level of DFT.

Results
DFT total energy	-5.57	eV per atom
energy relative to the lowest polymorph listed for this composition	104	meV/atom

CIF file:
```
data_Te2OsPt
_cell_length_a 5.965
_cell_length_b 5.965
_cell_length_c 11.958
_cell_angle_alpha 90.00
_cell_angle_beta 90.00
_cell_angle_gamma 90.00
_symmetry_space_group_name_H-M 'I -4 2 d'
_symmetry_Int_Tables_number 122
_symmetry_space_group_name_Hall 'I -4 2bw'
loop_
_atom_site_label
_atom_site_fract_x
_atom_site_fract_y
_atom_site_fract_z
Te1 0.239 0.250 0.125
Os1 0.000 0.000 0.000
Pt1 0.000 0.000 0.500
```

=====

[10]
Computed, not measured: TeOsPt2 after structural relaxation at the PBE level of DFT.

Results
DFT total energy	-6.21	eV per atom

CIF file:
```
data_TeOsPt2
_cell_length_a 8.937
_cell_length_b 3.195
_cell_length_c 4.939
_cell_angle_alpha 90.00
_cell_angle_beta 102.06
_cell_angle_gamma 90.00
_symmetry_space_group_name_H-M 'C 1 m 1'
_symmetry_Int_Tables_number 8
_symmetry_space_group_name_Hall 'C -2y'
loop_
_atom_site_label
_atom_site_fract_x
_atom_site_fract_y
_atom_site_fract_z
Te1 0.000 0.000 0.000
Os1 0.260 0.000 0.757
Pt1 0.012 0.500 0.513
Pt2 0.262 0.500 0.283
```

=====

[11]
Computed, not measured: TeOsPt2 after structural relaxation at the PBE level of DFT.

Results
DFT total energy	-6.18	eV per atom

CIF file:
```
data_TeOsPt2
_cell_length_a 4.302
_cell_length_b 4.302
_cell_length_c 7.324
_cell_angle_alpha 90.00
_cell_angle_beta 90.00
_cell_angle_gamma 90.00
_symmetry_space_group_name_H-M 'I -4 m 2'
_symmetry_Int_Tables_number 119
_symmetry_space_group_name_Hall 'I -4 -2'
loop_
_atom_site_label
_atom_site_fract_x
_atom_site_fract_y
_atom_site_fract_z
Te1 0.000 0.000 0.000
Os1 0.000 0.500 0.750
Pt1 0.000 0.000 0.500
Pt2 0.000 0.500 0.250
```

=====

[12]
Computed, not measured: TeOsPt2 after structural relaxation at the PBE level of DFT.

Results
DFT total energy	-6.18	eV per atom

CIF file:
```
data_TeOsPt2
_cell_length_a 5.377
_cell_length_b 7.565
_cell_length_c 3.390
_cell_angle_alpha 90.00
_cell_angle_beta 90.00
_cell_angle_gamma 90.00
_symmetry_space_group_name_H-M 'C m m m'
_symmetry_Int_Tables_number 65
_symmetry_space_group_name_Hall '-C 2 2'
loop_
_atom_site_label
_atom_site_fract_x
_atom_site_fract_y
_atom_site_fract_z
Te1 0.000 0.000 0.000
Os1 0.000 0.500 0.000
Pt1 0.250 0.250 0.500
```

=====

What volume values result from the calculations? In sequence: 68.4 70.9 87.0 318.4 155.8 91.5 207.8 158.8 425.4 137.9 135.6 137.9 Å³/cell.
What ΔE_f (raw) values result from the calculations? In sequence: 0.51 0.41 0.36 1.00 0.74 0.27 0.50 0.78 0.32 0.40 0.44 0.43 eV per atom.